(1)
The following is a PBE calculation of a geometry-optimized SbOs2Rh structure, from Alexandria.

Cell lengths 3.010, 4.632, 9.154 Å; angles 90.00, 90.00, 90.00 degrees
Fractional positions:
1 Sb 0.000 0.000 0.000
2 Sb 0.500 0.500 0.500
3 Os 0.000 0.000 0.489
4 Os 0.000 0.500 0.741
5 Os 0.500 0.000 0.241
6 Os 0.500 0.500 0.989
7 Rh 0.000 0.500 0.269
8 Rh 0.500 0.000 0.769

Properties
- Crystal system: orthorhombic
- Formation energy from raw total energies: 0.542 eV/atom
- VASP energy: -7.94 eV/atom
- Space-group type: No. 44



(2)
The following is a PBE calculation of a geometry-optimized Sb2OsRh structure, from Alexandria.

Cell lengths 3.363, 5.085, 4.987 Å; angles 90.00, 109.07, 90.00 degrees
Fractional positions:
1 Sb 0.000 0.000 0.000
2 Sb 0.199 0.500 0.369
3 Os 0.297 0.000 0.579
4 Rh 0.900 0.500 0.786

Properties
- Crystal system: monoclinic
- Distance to the lowest polymorph of the same formula: 0.23 eV/f.u.
- Formation energy from raw total energies: 0.167 eV/atom
- VASP energy: -6.54 eV/atom
- Space-group type: No. 6



Question: What is the formula in the second record?
Answer: Sb2OsRh